First-principles (PBE) data for a geometry-optimized CsCeO2F structure, as listed in the Alexandria database.

## Properties
Total DFT energy (no corrections): -6.73 eV per atom
E_form (uncorrected): -3.014 eV/atom

Cell: 4.4090 4.4090 4.9181 Å, 90.00 90.00 90.00°
With the nearest neighbours (Å) after each atom.
Sites, in units of the cell vectors:
Cs 0.0000 0.0000 0.0000  4 F 3.12, 8 O 3.30
Ce 0.5000 0.5000 0.5000  4 O 2.20, 2 F 2.46
O 0.0000 0.5000 0.5000  2 Ce 2.20
O 0.5000 0.0000 0.5000  2 Ce 2.20
F 0.5000 0.5000 0.0000  2 Ce 2.46



First-principles (PBE) data for a geometry-optimized Cs2CePd3F12 structure, as listed in the Alexandria database.

## Properties
Total DFT energy (no corrections): -4.79 eV per atom
E_form (uncorrected): -2.253 eV/atom

Cell: 9.3236 9.3236 9.3236 Å, 44.18 44.18 44.18°
With the nearest neighbours (Å) after each atom.
Sites, in units of the cell vectors:
Cs 0.1217 0.1217 0.1217  12 F 3.20-3.51
Cs 0.8783 0.8783 0.8783  12 F 3.20-3.51
Ce 0.5000 0.5000 0.5000  6 F 2.17
Pd 0.0000 0.5000 0.5000  4 F 2.01
Pd 0.5000 0.0000 0.5000  4 F 2.01
Pd 0.5000 0.5000 0.0000  4 F 2.01
F 0.1521 0.6044 0.6044  1 Ce 2.17
F 0.1657 0.1657 0.5815  2 Pd 2.01
F 0.1657 0.5815 0.1657  2 Pd 2.01
F 0.3956 0.3956 0.8479  1 Ce 2.17
F 0.3956 0.8479 0.3956  1 Ce 2.17
F 0.4185 0.8343 0.8343  2 Pd 2.01
F 0.5815 0.1657 0.1657  2 Pd 2.01
F 0.6044 0.1521 0.6044  1 Ce 2.17
F 0.6044 0.6044 0.1521  1 Ce 2.17
F 0.8343 0.4185 0.8343  2 Pd 2.01
F 0.8343 0.8343 0.4185  2 Pd 2.01
F 0.8479 0.3956 0.3956  1 Ce 2.17



First-principles (PBE) data for a geometry-optimized Cs3Rb2CeF9 structure, as listed in the Alexandria database.

## Properties
Total DFT energy (no corrections): -4.90 eV per atom
E_form (uncorrected): -3.081 eV/atom

Cell: 7.1881 7.1881 8.8768 Å, 90.00 90.00 120.00°
With the nearest neighbours (Å) after each atom.
Sites, in units of the cell vectors:
Cs 0.0000 0.0000 0.0000  12 F 3.57-3.59
Cs 0.3333 0.6667 0.7718  3 F 2.90
Cs 0.6667 0.3333 0.2282  3 F 2.90
Rb 0.3333 0.6667 0.1973  6 F 2.72-2.78
Rb 0.6667 0.3333 0.8027  6 F 2.72-2.78
Ce 0.0000 0.0000 0.5000  6 F 2.18
F 0.0000 0.5000 0.0000  2 Rb 2.72, 2 Cs 2.90
F 0.1391 0.2782 0.3518  1 Ce 2.18
F 0.1391 0.8609 0.3518  1 Ce 2.18
F 0.2782 0.1391 0.6482  1 Ce 2.18
F 0.5000 0.0000 0.0000  2 Rb 2.72, 2 Cs 2.90
F 0.5000 0.5000 0.0000  2 Rb 2.72, 2 Cs 2.90
F 0.7218 0.8609 0.3518  1 Ce 2.18
F 0.8609 0.1391 0.6482  1 Ce 2.18
F 0.8609 0.7218 0.6482  1 Ce 2.18



First-principles (PBE) data for a geometry-optimized CsCeS2F structure, as listed in the Alexandria database.

## Properties
Total DFT energy (no corrections): -5.61 eV per atom
E_form (uncorrected): -2.223 eV/atom

Cell: 8.4060 4.1623 9.3358 Å, 90.00 107.04 90.00°
With the nearest neighbours (Å) after each atom.
Sites, in units of the cell vectors:
Cs 0.2099 0.2500 0.3083  2 F 2.97
Cs 0.7901 0.7500 0.6917  2 F 2.97
Ce 0.3208 0.2500 0.8281  1 F 2.16
Ce 0.6792 0.7500 0.1719  1 F 2.16
S 0.3363 0.7500 0.0307  3 Ce 2.79-2.80
S 0.3382 0.7500 0.6497  2 Ce 2.70
S 0.6618 0.2500 0.3503  2 Ce 2.70
S 0.6637 0.2500 0.9693  3 Ce 2.79-2.80
F 0.0528 0.2500 0.7706  1 Ce 2.16
F 0.9472 0.7500 0.2294  1 Ce 2.16



First-principles (PBE) data for a geometry-optimized CsCeSeF2 structure, as listed in the Alexandria database.

## Properties
Total DFT energy (no corrections): -5.61 eV per atom
E_form (uncorrected): -2.806 eV/atom

Cell: 7.8204 7.8204 8.4513 Å, 90.00 90.00 148.30°
With the nearest neighbours (Å) after each atom.
Sites, in units of the cell vectors:
Cs 0.2345 0.7655 0.7500  6 F 3.06-3.07
Cs 0.7655 0.2345 0.2500  6 F 3.06-3.07
Ce 0.5000 0.5000 0.0000  2 F 2.21
Ce 0.5000 0.5000 0.5000  2 F 2.21
Se 0.0249 0.9751 0.2500  4 Ce 3.03
Se 0.9751 0.0249 0.7500  4 Ce 3.03
F 0.3548 0.6452 0.0422  1 Ce 2.21
F 0.3548 0.6452 0.4578  1 Ce 2.21
F 0.6452 0.3548 0.5422  1 Ce 2.21
F 0.6452 0.3548 0.9578  1 Ce 2.21



First-principles (PBE) data for a geometry-optimized Cs2Sr3CeF12 structure, as listed in the Alexandria database.

## Properties
Total DFT energy (no corrections): -5.52 eV per atom
E_form (uncorrected): -3.563 eV/atom

Cell: 8.8790 8.8790 8.8790 Å, 57.67 57.67 57.67°
With the nearest neighbours (Å) after each atom.
Sites, in units of the cell vectors:
Cs 0.0868 0.0868 0.0868  3 F 3.12
Cs 0.9132 0.9132 0.9132  3 F 3.12
Sr 0.0000 0.5000 0.5000  6 F 2.39-2.50
Sr 0.5000 0.0000 0.5000  6 F 2.39-2.50
Sr 0.5000 0.5000 0.0000  6 F 2.39-2.50
Ce 0.5000 0.5000 0.5000  6 F 2.17
F 0.1636 0.1636 0.5894  2 Sr 2.39
F 0.1636 0.5894 0.1636  2 Sr 2.39
F 0.2062 0.5594 0.5594  1 Ce 2.17
F 0.4106 0.8364 0.8364  2 Sr 2.39
F 0.4406 0.4406 0.7938  1 Ce 2.17
F 0.4406 0.7938 0.4406  1 Ce 2.17
F 0.5594 0.2062 0.5594  1 Ce 2.17
F 0.5594 0.5594 0.2062  1 Ce 2.17
F 0.5894 0.1636 0.1636  2 Sr 2.39
F 0.7938 0.4406 0.4406  1 Ce 2.17
F 0.8364 0.4106 0.8364  2 Sr 2.39
F 0.8364 0.8364 0.4106  2 Sr 2.39



First-principles (PBE) data for a geometry-optimized Cs2CeTlF8 structure, as listed in the Alexandria database.

## Properties
Total DFT energy (no corrections): -4.96 eV per atom
E_form (uncorrected): -2.880 eV/atom

Cell: 7.2888 7.2888 7.2888 Å, 127.29 127.29 77.78°
With the nearest neighbours (Å) after each atom.
Sites, in units of the cell vectors:
Cs 0.0000 0.0000 0.0000  8 F 2.89
Cs 0.7500 0.2500 0.5000  8 F 2.99
Ce 0.2500 0.7500 0.5000  8 F 2.32
Tl 0.5000 0.5000 0.0000  8 F 2.65
F 0.1760 0.0907 0.5327  1 Ce 2.32, 1 F 2.47
F 0.1760 0.6434 0.0853  1 Ce 2.32, 1 F 2.47
F 0.3566 0.4420 0.5327  1 Ce 2.32, 1 F 2.47
F 0.3566 0.8240 0.9147  1 Ce 2.32, 1 F 2.47
F 0.5580 0.0907 0.9147  1 Ce 2.32, 1 F 2.47
F 0.5580 0.6434 0.4673  1 Ce 2.32, 1 F 2.47
F 0.9093 0.4420 0.0853  1 Ce 2.32, 1 F 2.47
F 0.9093 0.8240 0.4673  1 Ce 2.32, 1 F 2.47



First-principles (PBE) data for a geometry-optimized Cs2CeTlF6 structure, as listed in the Alexandria database.

## Properties
Total DFT energy (no corrections): -5.17 eV per atom
E_form (uncorrected): -3.042 eV/atom

Cell: 7.0699 7.0699 7.0699 Å, 60.00 60.00 60.00°
With the nearest neighbours (Å) after each atom.
Sites, in units of the cell vectors:
Cs 0.2500 0.2500 0.2500  12 F 3.54
Cs 0.7500 0.7500 0.7500  12 F 3.54
Ce 0.0000 0.0000 0.0000  6 F 2.30
Tl 0.5000 0.5000 0.5000  6 F 2.70
F 0.2296 0.2296 0.7704  1 Ce 2.30
F 0.2296 0.7704 0.2296  1 Ce 2.30
F 0.2296 0.7704 0.7704  1 Ce 2.30
F 0.7704 0.2296 0.2296  1 Ce 2.30
F 0.7704 0.2296 0.7704  1 Ce 2.30
F 0.7704 0.7704 0.2296  1 Ce 2.30



Number 1: total moment 0.0 μB/f.u.. Number 2: total moment 0.0 μB/f.u.. Number 3: total moment 0.3 μB/f.u.. Number 4: total moment 0.0 μB/f.u.. Number 5: total moment 1.0 μB/f.u.. Number 6: total moment 0.2 μB/f.u.. Number 7: total moment 0.4 μB/f.u.. Number 8: total moment 1.0 μB/f.u..